# 1
# GGA-PBE SmScIrPd, optimized geometry
# Total magnetic moment ... 0.000 μB/f.u.
# Formation energy ... -0.808 eV/atom
# E ... -7.08 eV per atom
data_SmScIrPd
_space_group_name_H-M_alt 'F -4 3 m'
_space_group_IT_number 216
_space_group_name_Hall 'F -4 2 3'
_cell_length_a 6.823
_cell_length_b 6.823
_cell_length_c 6.823
_cell_angle_alpha 90.00
_cell_angle_beta 90.00
_cell_angle_gamma 90.00
loop_
_atom_site_label
_atom_site_type_symbol
_atom_site_fract_x
_atom_site_fract_y
_atom_site_fract_z
Sm1 Sm 0.000 0.000 0.000
Sc1 Sc 0.000 0.000 0.500
Ir1 Ir 0.250 0.250 0.250
Pd1 Pd 0.250 0.250 0.750

---

# 2
# GGA-PBE Sc5Sn2Ir2Pd, optimized geometry
# Total magnetic moment ... 0.000 μB/f.u.
# Formation energy ... -0.717 eV/atom
# E ... -6.97 eV per atom
data_Sc5Sn2Ir2Pd
_space_group_name_H-M_alt 'P 4/m b m'
_space_group_IT_number 127
_space_group_name_Hall '-P 4 2ab'
_cell_length_a 11.130
_cell_length_b 11.130
_cell_length_c 3.354
_cell_angle_alpha 90.00
_cell_angle_beta 90.00
_cell_angle_gamma 90.00
loop_
_atom_site_label
_atom_site_type_symbol
_atom_site_fract_x
_atom_site_fract_y
_atom_site_fract_z
Sc1 Sc 0.000 0.500 0.000
Sc2 Sc 0.070 0.197 0.000
Sn1 Sn 0.173 0.673 0.500
Ir1 Ir 0.135 0.365 0.500
Pd1 Pd 0.000 0.000 0.500

---

# 3
# GGA-PBE ScSnIrPd, optimized geometry
# Total magnetic moment ... 0.000 μB/f.u.
# Formation energy ... -0.750 eV/atom
# E ... -6.85 eV per atom
data_ScSnIrPd
_space_group_name_H-M_alt 'F -4 3 m'
_space_group_IT_number 216
_space_group_name_Hall 'F -4 2 3'
_cell_length_a 6.530
_cell_length_b 6.530
_cell_length_c 6.530
_cell_angle_alpha 90.00
_cell_angle_beta 90.00
_cell_angle_gamma 90.00
loop_
_atom_site_label
_atom_site_type_symbol
_atom_site_fract_x
_atom_site_fract_y
_atom_site_fract_z
Sc1 Sc 0.000 0.000 0.000
Sn1 Sn 0.000 0.000 0.500
Ir1 Ir 0.250 0.250 0.250
Pd1 Pd 0.250 0.250 0.750

---

# 4
# GGA-PBE Sr2ScIrPd, optimized geometry
# Total magnetic moment ... 0.000 μB/f.u.
# Formation energy ... 0.370 eV/atom
# E ... -4.38 eV per atom
data_Sr2ScIrPd
_space_group_name_H-M_alt 'P 4/m m m'
_space_group_IT_number 123
_space_group_name_Hall '-P 4 2'
_cell_length_a 5.571
_cell_length_b 5.571
_cell_length_c 5.003
_cell_angle_alpha 90.00
_cell_angle_beta 90.00
_cell_angle_gamma 90.00
loop_
_atom_site_label
_atom_site_type_symbol
_atom_site_fract_x
_atom_site_fract_y
_atom_site_fract_z
Sr1 Sr 0.000 0.500 0.000
Sc1 Sc 0.000 0.000 0.500
Ir1 Ir 0.500 0.500 0.500
Pd1 Pd 0.000 0.000 0.000

---

# 5
# GGA-PBE TbScIrPd, optimized geometry
# Total magnetic moment ... 0.000 μB/f.u.
# Formation energy ... -0.892 eV/atom
# E ... -7.15 eV per atom
data_TbScIrPd
_space_group_name_H-M_alt 'F -4 3 m'
_space_group_IT_number 216
_space_group_name_Hall 'F -4 2 3'
_cell_length_a 6.757
_cell_length_b 6.757
_cell_length_c 6.757
_cell_angle_alpha 90.00
_cell_angle_beta 90.00
_cell_angle_gamma 90.00
loop_
_atom_site_label
_atom_site_type_symbol
_atom_site_fract_x
_atom_site_fract_y
_atom_site_fract_z
Tb1 Tb 0.000 0.000 0.000
Sc1 Sc 0.000 0.000 0.500
Ir1 Ir 0.250 0.250 0.250
Pd1 Pd 0.250 0.250 0.750

---

# 6
# GGA-PBE ScTe2IrPd, optimized geometry
# Total magnetic moment ... 0.000 μB/f.u.
# Uncorrected formation energy ... 0.752 eV/atom
# E ... -4.58 eV per atom
data_ScTe2IrPd
_space_group_name_H-M_alt 'P 4/m m m'
_space_group_IT_number 123
_space_group_name_Hall '-P 4 2'
_cell_length_a 5.385
_cell_length_b 5.385
_cell_length_c 4.752
_cell_angle_alpha 90.00
_cell_angle_beta 90.00
_cell_angle_gamma 90.00
loop_
_atom_site_label
_atom_site_type_symbol
_atom_site_fract_x
_atom_site_fract_y
_atom_site_fract_z
Sc1 Sc 0.000 0.000 0.000
Te1 Te 0.000 0.500 0.000
Ir1 Ir 0.000 0.000 0.500
Pd1 Pd 0.500 0.500 0.500

---

Which of these has the lowest E? TbScIrPd